The following is a DFT calculation (GGA-PBE) of a relaxed structure of RbInGa2Pt.

POSCAR file:
```
RbInGa2Pt
1.0
-4.716 0.807 -1.480
-0.990 -4.885 0.491
-1.474 0.815 5.142
Rb Ga In Pt
1 2 1 1
direct
0.500 0.500 0.500
0.500 0.000 0.000
0.000 0.500 0.000
0.000 0.000 0.500
0.000 0.000 0.000
```

Values from the calculation:
ρ: 6.5 g cm⁻³
Energy relative to the elements: -0.1699 eV per atom
Crystal system: tetragonal
Space group: No. 123
Uncorrected energy: -3.330 eV/atom